No. 1
A plane-wave DFT calculation with PBE-GGA was carried out for a relaxed LaIrOs2 crystal.

extended XYZ file:
```
4
Lattice="-0.315 2.264 -1.839 -3.346 -2.490 -2.492 -3.585 1.883 2.932" Properties=species:S:1:pos:R:3 pbc="T T T"
La -3.465 -0.303 0.220
Os -1.830 -0.113 -2.165
Os 0.000 0.000 0.000
Ir -1.950 2.073 0.547
```

Excess energy over the best structure of this formula in the dataset = 126.9 kJ/mol of formula units
Density of states at the Fermi level = 1.42 states/eV per atom
Electronic total energy = -8.541 eV/atom
Total moment = 0.0009 μB per atom
ΔH_f (0 K) = 0.521 eV per atom
SG = No. 47

***

No. 2
A plane-wave DFT calculation with PBE-GGA was carried out for a relaxed VCuSb2Te crystal.

extended XYZ file:
```
5
Lattice="5.118 0.000 0.000 0.000 5.118 0.000 0.000 0.000 5.088" Properties=species:S:1:pos:R:3 pbc="T T T"
Cu 2.559 2.559 2.544
Sb 0.000 2.559 0.000
Sb 2.559 0.000 0.000
Te 0.000 0.000 2.544
V 0.000 0.000 0.000
```

Formation energy from raw total energies = 2.9 eV per formula unit
Excess energy over the best structure of this formula in the dataset = 0.0 kJ/mol of formula units
Density of states at the Fermi level = 1.11 states/eV per atom
Electronic total energy = -4.341 eV/atom
Total moment = 0.0000 μB per atom
SG = No. 123

***

No. 3
A plane-wave DFT calculation with PBE-GGA was carried out for a relaxed CsBaIn2I6 crystal.

extended XYZ file:
```
10
Lattice="8.654 -0.001 -0.005 -4.327 7.491 -0.001 -4.327 -2.498 7.721" Properties=species:S:1:pos:R:3 pbc="T T T"
In 0.066 5.025 3.012
In 0.067 0.031 7.016
I -2.413 -0.723 5.168
I -2.368 5.757 5.162
I 3.336 0.081 1.186
I -1.617 2.841 1.188
I 0.651 2.554 5.167
I 2.802 4.665 1.183
Cs -4.263 2.529 4.230
Ba 0.063 5.026 7.601
```

Formation energy from raw total energies = -10.5 eV per formula unit
Density of states at the Fermi level = 0.37 states/eV per atom
Electronic total energy = -2.808 eV/atom
Total moment = 0.0000 μB per atom
SG = No. 1

***

No. 4
A plane-wave DFT calculation with PBE-GGA was carried out for a relaxed BeRuBr2 crystal.

extended XYZ file:
```
4
Lattice="3.961 0.001 0.034 2.639 2.953 0.034 -0.493 -0.221 7.810" Properties=species:S:1:pos:R:3 pbc="T T T"
Ru 2.642 1.183 5.270
Br -0.389 -0.174 7.038
Br 1.933 0.865 2.902
Be 4.483 2.007 4.416
```

Formation energy from raw total energies = 0.0 eV per formula unit
Excess energy over the best structure of this formula in the dataset = 0.0 kJ/mol of formula units
Electronic total energy = -4.089 eV/atom
Total moment = 0.0000 μB per atom
SG = No. 8

***

No. 5
A plane-wave DFT calculation with PBE-GGA was carried out for a relaxed PdI2Cl6 crystal.

extended XYZ file:
```
18
Lattice="4.795 2.792 5.072 9.932 -6.839 7.163 14.015 -0.526 -0.173" Properties=species:S:1:pos:R:3 pbc="T T T"
Cl 18.845 -0.073 6.026
Cl 9.897 -4.501 6.036
Cl 14.684 0.589 4.280
Cl 11.701 -2.923 8.218
Cl 17.041 -1.650 3.844
Cl 6.515 -1.020 1.873
Cl 14.058 -5.162 7.782
Cl 20.305 -4.214 6.799
Cl 22.227 -3.553 10.190
Cl 11.595 -0.776 1.565
Cl 8.437 -0.359 5.263
Cl 17.147 -3.797 10.497
I 19.809 -3.656 10.285
I 10.025 -1.541 6.660
I 8.933 -0.917 1.777
I 18.717 -3.033 5.402
Pd 12.000 -4.797 6.869
Pd 16.742 0.223 5.194
```

Formation energy from raw total energies = -1.6 eV per formula unit
Density of states at the Fermi level = 0.24 states/eV per atom
Electronic total energy = -2.329 eV/atom
Total moment = 0.2257 μB per atom
SG = No. 15

***

No. 6
A plane-wave DFT calculation with PBE-GGA was carried out for a relaxed YAlRe crystal.

extended XYZ file:
```
18
Lattice="-5.490 -0.166 0.169 -2.634 -4.745 -0.865 -2.225 -4.288 12.833" Properties=species:S:1:pos:R:3 pbc="T T T"
Re -2.745 -0.083 0.085
Re -4.062 -2.455 -0.348
Re -5.175 -4.599 6.069
Re -5.010 -5.501 10.514
Re -1.317 -2.372 -0.433
Re -5.339 -3.697 1.623
Y -7.739 -7.028 9.737
Y -2.611 -2.171 2.400
Y -8.065 -5.239 0.920
Y -7.865 -6.334 6.317
Y -2.484 -2.865 5.820
Y -2.285 -3.960 11.217
Al -6.444 -4.332 8.467
Al -3.778 -4.251 8.384
Al -6.571 -4.947 3.753
Al -5.057 -6.556 7.964
Al -3.905 -4.867 3.671
Al -5.292 -2.643 4.173
```

Excess energy over the best structure of this formula in the dataset = 0.3 kJ/mol of formula units
Density of states at the Fermi level = 0.75 states/eV per atom
Electronic total energy = -7.909 eV/atom
Total moment = 0.0000 μB per atom
ΔH_f (0 K) = -0.358 eV per atom
SG = No. 166

***

No. 7
A plane-wave DFT calculation with PBE-GGA was carried out for a relaxed PmNd6DyEr2 crystal.

extended XYZ file:
```
20
Lattice="9.234 -1.988 -2.063 0.817 8.687 -1.999 0.817 -2.319 8.607" Properties=species:S:1:pos:R:3 pbc="T T T"
Er 5.468 -0.031 1.038
Er 0.851 2.032 1.039
Er 5.400 4.411 3.508
Er 10.017 2.348 3.506
Dy 7.743 2.675 0.810
Dy 3.125 1.704 3.735
Nd 2.179 4.488 -1.432
Nd 8.689 -0.108 5.977
Nd 1.222 -0.879 6.199
Nd 4.072 6.971 1.145
Nd 4.188 3.018 0.717
Nd 6.680 1.362 3.828
Nd 9.646 5.259 -1.654
Nd 5.029 -0.854 6.225
Nd 8.806 -0.389 2.011
Nd 5.839 5.233 -1.680
Nd 2.062 4.769 2.534
Nd 6.796 -2.591 3.400
Pm 7.743 -3.488 6.749
Pm 3.125 7.868 -2.204
```

Density of states at the Fermi level = 1.45 states/eV per atom
Electronic total energy = -4.594 eV/atom
Total moment = 0.0000 μB per atom
ΔH_f (0 K) = 0.115 eV per atom
SG = No. 15

***

No. 8
A plane-wave DFT calculation with PBE-GGA was carried out for a relaxed BeRe2SnOs crystal.

extended XYZ file:
```
5
Lattice="-1.954 4.004 1.692 -3.432 -0.166 -3.570 -2.828 -2.580 2.839" Properties=species:S:1:pos:R:3 pbc="T T T"
Be -4.107 0.629 0.480
Os 0.000 0.000 0.000
Re -1.414 -1.290 1.419
Re -0.977 2.002 0.846
Sn -1.716 -0.083 -1.785
```

Density of states at the Fermi level = 1.21 states/eV per atom
Electronic total energy = -6.661 eV/atom
Total moment = 0.0006 μB per atom
ΔH_f (0 K) = 2.110 eV per atom
SG = No. 123

***

No. 9
A plane-wave DFT calculation with PBE-GGA was carried out for a relaxed RbMg2Tl3 crystal.

extended XYZ file:
```
12
Lattice="-6.060 -1.683 0.487 1.813 -7.312 -2.708 0.750 -0.397 7.960" Properties=species:S:1:pos:R:3 pbc="T T T"
Mg -2.061 -2.664 6.005
Mg 0.969 -1.822 5.761
Mg 1.594 -5.886 -0.508
Mg -1.436 -6.728 -0.265
Rb -2.856 -6.343 3.827
Rb -0.641 -3.049 1.913
Tl 0.525 -7.236 1.955
Tl 0.908 -7.706 5.085
Tl -3.633 -4.683 -0.114
Tl 0.137 -4.709 5.853
Tl -4.404 -1.686 0.654
Tl -4.022 -2.157 3.785
```

Density of states at the Fermi level = 0.49 states/eV per atom
Electronic total energy = -1.929 eV/atom
Total moment = 0.0000 μB per atom
ΔH_f (0 K) = -0.053 eV per atom
SG = No. 63

***

No. 10
A plane-wave DFT calculation with PBE-GGA was carried out for a relaxed Pa2Co3As crystal.

extended XYZ file:
```
12
Lattice="5.627 0.816 0.000 0.467 5.667 0.000 -3.047 -3.241 6.562" Properties=species:S:1:pos:R:3 pbc="T T T"
As 0.000 0.000 4.216
As 3.047 3.241 2.346
Co 3.047 3.241 4.717
Co -1.435 -1.526 5.305
Co 1.435 1.526 5.305
Co 1.612 1.715 1.256
Co 4.483 4.768 1.256
Co 0.000 0.000 1.844
Pa 1.705 4.503 0.000
Pa 2.814 0.408 3.281
Pa 4.389 1.980 0.000
Pa 0.234 2.834 3.281
```

Density of states at the Fermi level = 1.00 states/eV per atom
Electronic total energy = -7.976 eV/atom
Total moment = 0.0001 μB per atom
ΔH_f (0 K) = -0.483 eV per atom
SG = No. 69

***

No. 11
A plane-wave DFT calculation with PBE-GGA was carried out for a relaxed Zr3ScB crystal.

extended XYZ file:
```
5
Lattice="4.890 0.000 0.000 0.000 4.890 0.000 0.000 0.000 4.890" Properties=species:S:1:pos:R:3 pbc="T T T"
Sc 0.000 0.000 0.000
Zr 0.000 0.000 2.445
Zr 2.445 0.000 0.000
Zr 0.000 2.445 0.000
B 2.445 2.445 2.445
```

Excess energy over the best structure of this formula in the dataset = 954.7 kJ/mol of formula units
Density of states at the Fermi level = 2.51 states/eV per atom
Electronic total energy = -5.827 eV/atom
Total moment = 0.0001 μB per atom
ΔH_f (0 K) = 1.903 eV per atom
SG = No. 221

***

No. 12
A plane-wave DFT calculation with PBE-GGA was carried out for a relaxed PrSm2YSe6 crystal.

extended XYZ file:
```
10
Lattice="7.386 0.000 0.000 3.693 6.396 0.000 3.693 2.132 6.577" Properties=species:S:1:pos:R:3 pbc="T T T"
Se 5.955 6.445 1.646
Se 8.432 6.187 4.950
Se 8.527 2.397 4.950
Se 6.212 1.935 1.646
Se 9.990 4.413 1.646
Se 5.198 4.210 4.949
Sm 3.693 2.133 6.293
Sm 7.386 4.264 2.935
Y 3.693 2.132 0.294
Pr 11.079 6.397 3.680
```

Formation energy from raw total energies = -18.4 eV per formula unit
Density of states at the Fermi level = 0.00 states/eV per atom
Electronic total energy = -6.003 eV/atom
Total moment = 0.0000 μB per atom
SG = No. 146

***

Question: Among the records above, which one has the lowest electronic total energy?
Answer: LaIrOs2

***

Question: Look up the electronic total energy of the tenth one.
Answer: -7.976 eV/atom

***

Question: Which value of electronic total energy does entry 8 give?
Answer: -6.661 eV/atom